Entry 1:
Entry from the Alexandria database: a geometry-optimized LiCa3Ag2 structure (PBE).

Geometry as CIF:
```
data_LiCa3Ag2
_cell_length_a 3.790
_cell_length_b 3.790
_cell_length_c 11.353
_cell_angle_alpha 90.00
_cell_angle_beta 90.00
_cell_angle_gamma 90.00
_space_group_name_H-M_alt 'P 4/m m m'
_space_group_IT_number 123
_space_group_name_Hall '-P 4 2'
loop_
_atom_site_label
_atom_site_type_symbol
_atom_site_fract_x
_atom_site_fract_y
_atom_site_fract_z
_atom_site_occupancy
Li1 Li 0.000 0.000 0.000 1
Ca1 Ca 0.500 0.500 0.183 1
Ca2 Ca 0.500 0.500 0.500 1
Ag1 Ag 0.000 0.000 0.337 1
```

Summary:
energy of formation = -0.206 eV/atom

---

Entry 2:
Entry from the Alexandria database: a geometry-optimized K2DyRuO6 structure (PBE).

Geometry as CIF:
```
data_K2DyRuO6
_cell_length_a 6.1994
_cell_length_b 6.1994
_cell_length_c 5.7458
_cell_angle_alpha 90.00
_cell_angle_beta 90.00
_cell_angle_gamma 120.00
_space_group_name_H-M_alt 'P -3 m 1'
_space_group_IT_number 164
_space_group_name_Hall '-P 3 2"'
loop_
_atom_site_label
_atom_site_type_symbol
_atom_site_fract_x
_atom_site_fract_y
_atom_site_fract_z
_atom_site_occupancy
K1 K 0.3333 0.6667 0.3922 1
Dy1 Dy 0.0000 0.0000 0.0000 1
Ru1 Ru 0.0000 0.0000 0.5000 1
O1 O 0.1413 0.2827 0.7057 1
```

Summary:
formation energy (no corrections) = -1.586 eV/atom

---

Entry 3:
Entry from the Alexandria database: a geometry-optimized HfNi3Pt4 structure (PBE).

Geometry as CIF:
```
data_HfNi3Pt4
_cell_length_a 8.882
_cell_length_b 5.556
_cell_length_c 4.709
_cell_angle_alpha 90.00
_cell_angle_beta 90.00
_cell_angle_gamma 90.00
_space_group_name_H-M_alt 'P m m a'
_space_group_IT_number 51
_space_group_name_Hall '-P 2a 2a'
loop_
_atom_site_label
_atom_site_type_symbol
_atom_site_fract_x
_atom_site_fract_y
_atom_site_fract_z
_atom_site_occupancy
Hf1 Hf 0.000 0.000 0.000 1
Ni1 Ni 0.000 0.500 0.000 1
Ni2 Ni 0.250 0.000 0.371 1
Ni3 Ni 0.250 0.500 0.336 1
Pt1 Pt 0.000 0.256 0.500 1
Pt2 Pt 0.250 0.261 0.851 1
```

Summary:
energy of formation = -0.471 eV/atom

---

Magnetization (computed, μB per formula unit): 0.00 1.04 0.87
Volume (computed, Å³ per atom): 27.19 19.12 14.52
E_tot (computed, eV/atom): -2.476 -6.168 -6.904